# PuMnNi2O6

A relaxed PuMnNi2O6 crystal (GGA+U, the Alexandria database).

Cell and atoms, written as POSCAR:
```
PuMnNi2O6
1.0
2.6393 1.5238 4.8171
-2.6393 1.5238 4.8171
0.0000 -3.0476 4.8171
Pu Mn Ni O
1 1 2 6
Direct
0.0000 0.0000 0.0000
0.5048 0.5048 0.5048
0.3056 0.3056 0.3056
0.8001 0.8001 0.8001
0.0950 0.4076 0.7085
0.2062 0.9098 0.5976
0.4076 0.7085 0.0950
0.5976 0.2062 0.9098
0.7085 0.0950 0.4076
0.9098 0.5976 0.2062
```

Properties
As for the total energy: -7.44 eV/atom. For the total magnetic moment, the calculation gives 11.00 μB per formula unit. The crystal system is trigonal. The space group is R3 (146).